Ga2HgIrPb: optimized geometry, PBE.

Values from the calculation:
Volume: 31.71 Å³ per atom
E above lowest polymorph: 1.0902 eV/atom
VASP energy: -2.773 eV/atom
Crystal system: tetragonal
Energy of formation from the pure elements: 1.01 eV/atom
M_tot: 0.0 μB per cell
Space group: P4/mmm, No. 123

Geometry as POSCAR:
```
Ga2HgIrPb
1.0
5.5724 0.0000 0.0000
0.0000 5.5724 0.0000
0.0000 0.0000 5.1065
Ga Hg Ir Pb
2 1 1 1
direct
0.0000 0.5000 0.0000
0.5000 0.0000 0.0000
0.0000 0.0000 0.5000
0.5000 0.5000 0.5000
0.5000 0.5000 0.0000
```

---

Pm2Ga4HgIr3: optimized geometry, PBE.

Values from the calculation:
Volume: 19.55 Å³ per atom
VASP energy: -5.402 eV/atom
Crystal system: tetragonal
Energy of formation from the pure elements: -0.55 eV/atom
M_tot: 0.0 μB per cell
Space group: P-4m2, No. 115

Geometry as POSCAR:
```
Pm2Ga4HgIr3
1.0
4.2414 0.0000 0.0000
0.0000 4.2414 0.0000
0.0000 0.0000 10.8669
Pm Ga Hg Ir
2 4 1 3
direct
0.0000 0.5000 0.2376
0.5000 0.0000 0.7624
0.0000 0.0000 0.0000
0.0000 0.5000 0.6435
0.5000 0.0000 0.3565
0.5000 0.5000 0.0000
0.0000 0.0000 0.5000
0.0000 0.5000 0.8709
0.5000 0.0000 0.1291
0.5000 0.5000 0.5000
```

---

RbGaHg2Ir: optimized geometry, PBE.

Values from the calculation:
Volume: 28.35 Å³ per atom
E above lowest polymorph: 0.0000 eV/atom
VASP energy: -2.895 eV/atom
Crystal system: tetragonal
Energy of formation from the pure elements: -0.20 eV/atom
M_tot: 0.0 μB per cell
Space group: P4/mmm, No. 123

Geometry as POSCAR:
```
RbGaHg2Ir
1.0
5.4195 0.0000 0.0000
0.0000 5.4195 0.0000
0.0000 0.0000 4.8257
Rb Ga Hg Ir
1 1 2 1
direct
0.0000 0.0000 0.0000
0.5000 0.5000 0.0000
0.0000 0.5000 0.5000
0.5000 0.0000 0.5000
0.5000 0.5000 0.5000
```

---

RbGaHg2Ir: optimized geometry, PBE.

Values from the calculation:
Volume: 47.19 Å³ per atom
E above lowest polymorph: 1.5906 eV/atom
VASP energy: -1.304 eV/atom
Crystal system: tetragonal
Energy of formation from the pure elements: 1.39 eV/atom
M_tot: 1.3 μB per cell
Space group: P4/mmm, No. 123

Geometry as POSCAR:
```
RbGaHg2Ir
1.0
6.3329 0.0000 0.0000
0.0000 6.3329 0.0000
0.0000 0.0000 5.8835
Rb Ga Hg Ir
1 1 2 1
direct
0.0000 0.0000 0.0000
0.5000 0.5000 0.5000
0.0000 0.5000 0.0000
0.5000 0.0000 0.0000
0.0000 0.0000 0.5000
```